# GGA-PBE TbAl3CoNi, relaxed
# * formation energy from the elements: -0.2811 eV/atom
data_TbAl3CoNi
_chemical_formula_sum 'Tb2 Al6 Co2 Ni2'
_symmetry_space_group_name_H-M 'P 1'
_symmetry_Int_Tables_number 1
_symmetry_space_group_name_Hall 'P 1'
_cell_length_a 5.3815
_cell_length_b 7.6419
_cell_length_c 6.4414
_cell_angle_alpha 126.38
_cell_angle_beta 90.00
_cell_angle_gamma 90.00
loop_
_atom_site_label
_atom_site_type_symbol
_atom_site_fract_x
_atom_site_fract_y
_atom_site_fract_z
Al1 Al 0.7500 0.8183 0.6365
Ni1 Ni 0.7500 0.0435 0.0870
Al2 Al 0.0000 0.2567 0.0000
Co1 Co 0.7500 0.5836 0.1671
Al3 Al 0.0000 0.7433 0.0000
Tb1 Tb 0.2500 0.7019 0.4038
Ni2 Ni 0.2500 0.9565 0.9130
Al4 Al 0.2500 0.1817 0.3635
Co2 Co 0.2500 0.4164 0.8329
Al5 Al 0.5000 0.2567 0.0000
Tb2 Tb 0.7500 0.2981 0.5962
Al6 Al 0.5000 0.7433 0.0000


# GGA-PBE CrIr2Se, relaxed
# * raw formation energy: 1.0 eV per formula unit
data_CrIr2Se
_chemical_formula_sum 'Cr1 Ir2 Se1'
_symmetry_space_group_name_H-M 'P 1'
_symmetry_Int_Tables_number 1
_symmetry_space_group_name_Hall 'P 1'
_cell_length_a 8.7712
_cell_length_b 8.7712
_cell_length_c 8.7712
_cell_angle_alpha 18.44
_cell_angle_beta 18.44
_cell_angle_gamma 18.44
loop_
_atom_site_label
_atom_site_type_symbol
_atom_site_fract_x
_atom_site_fract_y
_atom_site_fract_z
Cr1 Cr 0.7500 0.7500 0.7500
Ir1 Ir 0.4936 0.4936 0.4936
Ir2 Ir 0.0064 0.0064 0.0064
Se1 Se 0.2500 0.2500 0.2500


# GGA-PBE ZrAl2Au, relaxed
# * formation energy from the elements: -0.3463 eV/atom
data_ZrAl2Au
_chemical_formula_sum 'Zr1 Al2 Au1'
_symmetry_space_group_name_H-M 'P 1'
_symmetry_Int_Tables_number 1
_symmetry_space_group_name_Hall 'P 1'
_cell_length_a 4.9766
_cell_length_b 4.9766
_cell_length_c 4.9653
_cell_angle_alpha 76.44
_cell_angle_beta 76.44
_cell_angle_gamma 38.05
loop_
_atom_site_label
_atom_site_type_symbol
_atom_site_fract_x
_atom_site_fract_y
_atom_site_fract_z
Al1 Al 0.0077 0.0077 0.9745
Al2 Al 0.7511 0.7511 0.7480
Au1 Au 0.4910 0.4910 0.5390
Zr1 Zr 0.2502 0.2502 0.2385


# GGA-PBE Sc2RhPb, relaxed
# * formation energy from the elements: -0.5385 eV/atom
data_Sc2RhPb
_chemical_formula_sum 'Sc2 Rh1 Pb1'
_symmetry_space_group_name_H-M 'P 1'
_symmetry_Int_Tables_number 1
_symmetry_space_group_name_Hall 'P 1'
_cell_length_a 7.5551
_cell_length_b 4.6155
_cell_length_c 3.8043
_cell_angle_alpha 89.99
_cell_angle_beta 59.79
_cell_angle_gamma 127.67
loop_
_atom_site_label
_atom_site_type_symbol
_atom_site_fract_x
_atom_site_fract_y
_atom_site_fract_z
Pb1 Pb 0.0000 0.5000 0.5000
Sc1 Sc 0.5000 0.0000 0.5000
Sc2 Sc 0.0000 0.0000 0.0000
Rh1 Rh 0.5000 0.5000 0.0000


# GGA-PBE UHgSb2, relaxed
# * raw formation energy: -0.6 eV per formula unit
data_UHgSb2
_chemical_formula_sum 'U1 Hg1 Sb2'
_symmetry_space_group_name_H-M 'P 1'
_symmetry_Int_Tables_number 1
_symmetry_space_group_name_Hall 'P 1'
_cell_length_a 4.0855
_cell_length_b 4.9167
_cell_length_c 4.9167
_cell_angle_alpha 90.00
_cell_angle_beta 90.00
_cell_angle_gamma 90.00
loop_
_atom_site_label
_atom_site_type_symbol
_atom_site_fract_x
_atom_site_fract_y
_atom_site_fract_z
U1 U 0.5000 0.0000 0.0000
Sb1 Sb 0.0000 0.0000 0.5000
Sb2 Sb 0.0000 0.5000 0.0000
Hg1 Hg 0.5000 0.5000 0.5000


# GGA-PBE CrNi2W, relaxed
# * formation energy from the elements: 0.0289 eV/atom
data_CrNi2W
_chemical_formula_sum 'Cr1 Ni2 W1'
_symmetry_space_group_name_H-M 'P 1'
_symmetry_Int_Tables_number 1
_symmetry_space_group_name_Hall 'P 1'
_cell_length_a 3.6080
_cell_length_b 3.6067
_cell_length_c 3.7980
_cell_angle_alpha 90.00
_cell_angle_beta 90.00
_cell_angle_gamma 90.00
loop_
_atom_site_label
_atom_site_type_symbol
_atom_site_fract_x
_atom_site_fract_y
_atom_site_fract_z
W1 W 0.5000 0.0000 0.5000
Cr1 Cr 0.0000 0.5000 0.5000
Ni1 Ni 0.5000 0.5000 0.0000
Ni2 Ni 0.0000 0.0000 0.0000


# GGA-PBE CsAcInS3, relaxed
# * raw formation energy: -7.9 eV per formula unit
data_CsAcInS3
_chemical_formula_sum 'Cs2 Ac2 In2 S6'
_symmetry_space_group_name_H-M 'P 1'
_symmetry_Int_Tables_number 1
_symmetry_space_group_name_Hall 'P 1'
_cell_length_a 4.8253
_cell_length_b 9.3853
_cell_length_c 10.2204
_cell_angle_alpha 106.00
_cell_angle_beta 90.00
_cell_angle_gamma 90.00
loop_
_atom_site_label
_atom_site_type_symbol
_atom_site_fract_x
_atom_site_fract_y
_atom_site_fract_z
In1 In 0.2500 0.1155 0.5913
Cs1 Cs 0.2500 0.1960 0.2232
S1 S 0.7500 0.4645 0.1457
Ac1 Ac 0.7500 0.3370 0.8529
S2 S 0.7500 0.1864 0.5344
S3 S 0.2500 0.5355 0.8543
S4 S 0.2500 0.8136 0.4656
In2 In 0.7500 0.8845 0.4087
S5 S 0.2500 0.1278 0.8472
S6 S 0.7500 0.8722 0.1528
Ac2 Ac 0.2500 0.6630 0.1471
Cs2 Cs 0.7500 0.8040 0.7768


# GGA-PBE RbB3Te2O9, relaxed
# * raw formation energy: -26.6 eV per formula unit
data_RbB3Te2O9
_chemical_formula_sum 'Rb2 B6 Te4 O18'
_symmetry_space_group_name_H-M 'P 1'
_symmetry_Int_Tables_number 1
_symmetry_space_group_name_Hall 'P 1'
_cell_length_a 5.5677
_cell_length_b 6.4109
_cell_length_c 14.2536
_cell_angle_alpha 68.27
_cell_angle_beta 90.00
_cell_angle_gamma 90.00
loop_
_atom_site_label
_atom_site_type_symbol
_atom_site_fract_x
_atom_site_fract_y
_atom_site_fract_z
O1 O 0.0082 0.4099 0.3430
B1 B 0.1583 0.8229 0.9312
B2 B 0.1583 0.1771 0.5688
Te1 Te 0.2866 0.3203 0.9297
O2 O 0.7124 0.3629 0.0640
Te2 Te 0.2866 0.6797 0.5703
Rb1 Rb 0.3727 0.0000 0.2500
B3 B 0.8417 0.8229 0.4312
O3 O 0.9094 0.8191 0.9482
Te3 Te 0.7134 0.3203 0.4297
B4 B 0.8926 0.5000 0.2500
O4 O 0.9918 0.4099 0.8430
O5 O 0.9918 0.5901 0.6570
O6 O 0.7124 0.6371 0.4360
O7 O 0.2828 0.9786 0.5990
O8 O 0.2876 0.6371 0.9360
Te4 Te 0.7134 0.6797 0.0703
B5 B 0.8417 0.1771 0.0688
O9 O 0.9094 0.1809 0.5518
O10 O 0.0906 0.1809 0.0518
O11 O 0.2828 0.0214 0.9010
B6 B 0.1074 0.5000 0.7500
O12 O 0.7172 0.0214 0.4010
O13 O 0.0082 0.5901 0.1570
Rb2 Rb 0.6273 0.0000 0.7500
O14 O 0.0906 0.8191 0.4482
O15 O 0.6461 0.5000 0.2500
O16 O 0.3539 0.5000 0.7500
O17 O 0.2876 0.3629 0.5640
O18 O 0.7172 0.9786 0.0990


# GGA-PBE PaMoPb, relaxed
# * formation energy from the elements: 0.0692 eV/atom
data_PaMoPb
_chemical_formula_sum 'Pa2 Mo2 Pb2'
_symmetry_space_group_name_H-M 'P 1'
_symmetry_Int_Tables_number 1
_symmetry_space_group_name_Hall 'P 1'
_cell_length_a 3.2140
_cell_length_b 3.2140
_cell_length_c 14.0728
_cell_angle_alpha 96.56
_cell_angle_beta 96.56
_cell_angle_gamma 90.00
loop_
_atom_site_label
_atom_site_type_symbol
_atom_site_fract_x
_atom_site_fract_y
_atom_site_fract_z
Mo1 Mo 0.2768 0.2768 0.5535
Mo2 Mo 0.7232 0.7232 0.4465
Pb1 Pb 0.4433 0.4433 0.8866
Pb2 Pb 0.5567 0.5567 0.1134
Pa1 Pa 0.8490 0.8490 0.6980
Pa2 Pa 0.1510 0.1510 0.3020


# GGA-PBE Pm2Pr5DySc, relaxed
# * formation energy from the elements: 0.2832 eV/atom
data_Pm2Pr5DySc
_chemical_formula_sum 'Pm4 Pr10 Dy2 Sc2'
_symmetry_space_group_name_H-M 'P 1'
_symmetry_Int_Tables_number 1
_symmetry_space_group_name_Hall 'P 1'
_cell_length_a 8.5007
_cell_length_b 8.5007
_cell_length_c 10.5028
_cell_angle_alpha 113.87
_cell_angle_beta 113.87
_cell_angle_gamma 90.00
loop_
_atom_site_label
_atom_site_type_symbol
_atom_site_fract_x
_atom_site_fract_y
_atom_site_fract_z
Pr1 Pr 0.5000 0.5000 0.0000
Pr2 Pr 0.1372 0.0720 0.7093
Pm1 Pm 0.3751 0.8751 0.0000
Sc1 Sc 0.7500 0.2500 0.5000
Dy1 Dy 0.2500 0.2500 0.5000
Pr3 Pr 0.0000 0.0000 0.0000
Pr4 Pr 0.5720 0.6372 0.7093
Pm2 Pm 0.6249 0.1249 0.0000
Dy2 Dy 0.7500 0.7500 0.5000
Pr5 Pr 0.8628 0.9280 0.2907
Pr6 Pr 0.4280 0.3628 0.2907
Pr7 Pr 0.9280 0.4280 0.2907
Pr8 Pr 0.3628 0.8628 0.2907
Pm3 Pm 0.1249 0.3751 0.0000
Pr9 Pr 0.6372 0.1372 0.7093
Pr10 Pr 0.0720 0.5720 0.7093
Sc2 Sc 0.2500 0.7500 0.5000
Pm4 Pm 0.8751 0.6249 0.0000


# GGA-PBE YSi2Pt2Rh, relaxed
# * raw formation energy: -6.0 eV per formula unit
data_YSi2Pt2Rh
_chemical_formula_sum 'Y1 Si2 Pt2 Rh1'
_symmetry_space_group_name_H-M 'P 1'
_symmetry_Int_Tables_number 1
_symmetry_space_group_name_Hall 'P 1'
_cell_length_a 4.1718
_cell_length_b 4.1718
_cell_length_c 6.7150
_cell_angle_alpha 90.00
_cell_angle_beta 90.00
_cell_angle_gamma 120.00
loop_
_atom_site_label
_atom_site_type_symbol
_atom_site_fract_x
_atom_site_fract_y
_atom_site_fract_z
Y1 Y 0.0000 0.0000 0.0000
Rh1 Rh 0.0000 0.0000 0.5000
Pt1 Pt 0.3333 0.6667 0.7154
Si1 Si 0.6667 0.3333 0.6749
Si2 Si 0.3333 0.6667 0.3251
Pt2 Pt 0.6667 0.3333 0.2846


# GGA-PBE EuPuSb2, relaxed
# * raw formation energy: -2.7 eV per formula unit
data_EuPuSb2
_chemical_formula_sum 'Eu1 Pu1 Sb2'
_symmetry_space_group_name_H-M 'P 1'
_symmetry_Int_Tables_number 1
_symmetry_space_group_name_Hall 'P 1'
_cell_length_a 4.2138
_cell_length_b 5.1900
_cell_length_c 5.1900
_cell_angle_alpha 90.00
_cell_angle_beta 90.00
_cell_angle_gamma 90.00
loop_
_atom_site_label
_atom_site_type_symbol
_atom_site_fract_x
_atom_site_fract_y
_atom_site_fract_z
Sb1 Sb 0.0000 0.0000 0.5000
Sb2 Sb 0.0000 0.5000 0.0000
Pu1 Pu 0.5000 0.5000 0.5000
Eu1 Eu 0.5000 0.0000 0.0000


no.,theoretical density (g/cm³),D(E_F) (states/eV per cell)
1,5.6,6.77
2,14.5,4.38
3,7.7,1.70
4,8.2,2.72
5,11.5,6.00
6,11.9,3.77
7,4.3,2.54
8,3.6,0.00
9,12.4,7.97
10,6.4,27.29
11,10.5,3.05
12,9.4,13.33